Entry 1:
FeWSeBr2 | PBE-GGA | optimized geometry

Structure (CIF):
```
data_FeWSeBr2
_space_group_name_H-M_alt 'P 4/m m m'
_space_group_IT_number 123
_space_group_name_Hall '-P 4 2'
_cell_length_a 5.1752
_cell_length_b 5.1752
_cell_length_c 4.8746
_cell_angle_alpha 90.00
_cell_angle_beta 90.00
_cell_angle_gamma 90.00
loop_
_atom_site_label
_atom_site_type_symbol
_atom_site_fract_x
_atom_site_fract_y
_atom_site_fract_z
Fe1 Fe 0.0000 0.0000 0.0000
W1 W 0.5000 0.5000 0.5000
Se1 Se 0.5000 0.5000 0.0000
Br1 Br 0.0000 0.5000 0.5000
```

## Properties
- ΔE_f (raw) (eV/atom) = 0.87
- D(E_F) (states/eV/cell) = 10.327

Entry 2:
Ca4CoSn8 | PBE-GGA | optimized geometry

Structure (CIF):
```
data_Ca4CoSn8
_space_group_name_H-M_alt 'P m m 2'
_space_group_IT_number 25
_cell_length_a 4.5796
_cell_length_b 4.6595
_cell_length_c 16.0598
_cell_angle_alpha 90.00
_cell_angle_beta 90.00
_cell_angle_gamma 90.00
loop_
_space_group_symop_operation_xyz
'x,y,z'
'-x,-y,z'
'-x,y,z'
'x,-y,z'
loop_
_atom_site_label
_atom_site_type_symbol
_atom_site_fract_x
_atom_site_fract_y
_atom_site_fract_z
Ca1 Ca 0.0000 0.0000 0.0000
Ca2 Ca 0.0000 0.5000 0.4854
Ca3 Ca 0.5000 0.0000 0.1778
Ca4 Ca 0.5000 0.5000 0.6899
Co1 Co 0.5000 0.0000 0.3811
Sn1 Sn 0.0000 0.0000 0.3261
Sn2 Sn 0.0000 0.0000 0.6576
Sn3 Sn 0.0000 0.5000 0.1597
Sn4 Sn 0.0000 0.5000 0.8518
Sn5 Sn 0.5000 0.0000 0.5369
Sn6 Sn 0.5000 0.0000 0.8425
Sn7 Sn 0.5000 0.5000 0.0172
Sn8 Sn 0.5000 0.5000 0.3179
```

## Properties
- formation enthalpy at 0 K (eV/atom) = -0.41
- D(E_F) (states/eV/cell) = 8.296

Entry 3:
VSiRh2 | PBE-GGA | optimized geometry

Structure (CIF):
```
data_VSiRh2
_space_group_name_H-M_alt 'P 4/m m m'
_space_group_IT_number 123
_space_group_name_Hall '-P 4 2'
_cell_length_a 3.9302
_cell_length_b 3.9302
_cell_length_c 3.5187
_cell_angle_alpha 90.00
_cell_angle_beta 90.00
_cell_angle_gamma 90.00
loop_
_atom_site_label
_atom_site_type_symbol
_atom_site_fract_x
_atom_site_fract_y
_atom_site_fract_z
V1 V 0.0000 0.0000 0.0000
Si1 Si 0.5000 0.5000 0.0000
Rh1 Rh 0.0000 0.5000 0.5000
```

## Properties
- ΔE_f (raw) (eV/atom) = -0.47
- D(E_F) (states/eV/cell) = 4.861

Entry 4:
NaInHg2H | PBE-GGA | optimized geometry

Structure (CIF):
```
data_NaInHg2H
_space_group_name_H-M_alt 'P 4/m m m'
_space_group_IT_number 123
_space_group_name_Hall '-P 4 2'
_cell_length_a 5.1719
_cell_length_b 5.1719
_cell_length_c 4.0201
_cell_angle_alpha 90.00
_cell_angle_beta 90.00
_cell_angle_gamma 90.00
loop_
_atom_site_label
_atom_site_type_symbol
_atom_site_fract_x
_atom_site_fract_y
_atom_site_fract_z
Na1 Na 0.0000 0.0000 0.0000
In1 In 0.5000 0.5000 0.0000
Hg1 Hg 0.0000 0.5000 0.5000
H1 H 0.0000 0.0000 0.5000
```

## Properties
- total DFT energy (no corrections) (eV per atom) = -1.53
- D(E_F) (states/eV/cell) = 1.665